Entry 1:
A plane-wave DFT calculation with GGA-PBE was carried out for a geometry-optimized Li2TaPt structure.

a = 4.792 Å, b = 4.792 Å, c = 5.067 Å
α = 99.82°, β = 99.82°, γ = 33.70°
Sites, in units of the cell vectors:
Li  0.000  0.000  0.000
Li  0.242  0.242  0.823
Ta  0.769  0.769  0.343
Pt  0.523  0.523  0.518

Calculated values
Calculated formation energy = -0.138 eV/atom
Magnetization = 0.000 Bohr magnetons per cell
Mass density = 10.19 g/cm3
Energy above the lowest structure with this stoichiometry = 0.1213 eV/atom
DOS at the Fermi energy = 2.1 states/eV/cell

=====

Entry 2:
A plane-wave DFT calculation with GGA-PBE was carried out for a geometry-optimized Ba6CuP2Br3 structure.

a = 8.133 Å, b = 8.133 Å, c = 8.473 Å
α = 99.35°, β = 99.35°, γ = 119.76°
Sites, in units of the cell vectors:
Ba  0.085  0.427  0.783
Ba  0.228  0.228  0.220
Ba  0.427  0.085  0.783
Ba  0.573  0.915  0.217
Ba  0.772  0.772  0.780
Ba  0.915  0.573  0.217
Cu  0.500  0.500  0.000
P  0.167  0.833  0.000
P  0.833  0.167  0.000
Br  0.000  0.000  0.500
Br  0.330  0.670  0.500
Br  0.670  0.330  0.500

Calculated values
E_form (uncorrected) = -15.17 eV/f.u.
Magnetization = 1.932 Bohr magnetons per cell
Mass density = 4.29 g/cm3
DOS at the Fermi energy = 6.9 states/eV/cell

=====

Entry 3:
A plane-wave DFT calculation with GGA-PBE was carried out for a geometry-optimized AcPbS2O8 structure.

a = 5.916 Å, b = 5.916 Å, c = 7.790 Å
α = 90.00°, β = 90.00°, γ = 120.00°
Sites, in units of the cell vectors:
Ac  0.000  0.000  0.000
Pb  0.000  0.000  0.500
S  0.333  0.667  0.744
S  0.667  0.333  0.256
O  0.197  0.393  0.813
O  0.197  0.803  0.813
O  0.333  0.667  0.556
O  0.393  0.197  0.187
O  0.607  0.803  0.813
O  0.667  0.333  0.444
O  0.803  0.197  0.187
O  0.803  0.607  0.187

Calculated values
E_form (uncorrected) = -20.59 eV/f.u.
Magnetization = 0.992 Bohr magnetons per cell
Mass density = 4.41 g/cm3
DOS at the Fermi energy = 2.9 states/eV/cell

=====

Entry 4:
A plane-wave DFT calculation with GGA-PBE was carried out for a geometry-optimized Cu2TePb2 structure.

a = 8.696 Å, b = 8.696 Å, c = 3.225 Å
α = 90.00°, β = 90.00°, γ = 90.00°
Sites, in units of the cell vectors:
Cu  0.100  0.400  0.000
Cu  0.400  0.900  0.000
Cu  0.600  0.100  0.000
Cu  0.900  0.600  0.000
Te  0.000  0.000  0.500
Te  0.500  0.500  0.500
Pb  0.189  0.689  0.500
Pb  0.311  0.189  0.500
Pb  0.689  0.811  0.500
Pb  0.811  0.311  0.500

Calculated values
E_form (uncorrected) = 1.37 eV/f.u.
Magnetization = 0.000 Bohr magnetons per cell
Mass density = 9.11 g/cm3
Energy above the lowest structure with this stoichiometry = 0.1652 eV/atom
DOS at the Fermi energy = 3.6 states/eV/cell

=====

What is the formula in the third record?
AcPbS2O8